(1)
A plane-wave DFT calculation with meta-GGA SCAN was carried out for a PBEsol-optimized structure of MnOsPt.

The calculation puts the formation energy at 0.132 eV per atom. Its space group is F-43m, No. 216.

Cell lengths 4.003, 4.003, 4.003 Å; angles 60.00, 60.00, 60.00 degrees
Site moments in Bohr magnetons follow the coordinates.
Sites, in units of the cell vectors:
Os  0.000  0.000  0.000  -0.56
Pt  0.500  0.500  0.500  0.15
Mn  0.250  0.250  0.250  2.60

***

(2)
A plane-wave DFT calculation with meta-GGA SCAN was carried out for a PBEsol-optimized structure of Mn2SnAs.

The calculation puts the formation energy at 0.438 eV per atom. Its space group is Fm-3m, No. 225.

Cell lengths 4.269, 4.269, 4.269 Å; angles 60.00, 60.00, 60.00 degrees
Site moments in Bohr magnetons follow the coordinates.
Sites, in units of the cell vectors:
Mn  0.250  0.250  0.250  0.90
As  0.000  0.000  0.000  -0.09
Sn  0.500  0.500  0.500  -0.16
Mn  0.750  0.750  0.750  0.90

***

(3)
A plane-wave DFT calculation with meta-GGA SCAN was carried out for a PBEsol-optimized structure of Ba2ZrGaW.

The calculation puts the formation energy at 1.303 eV per atom. Its space group is P4/mmm, No. 123.

Cell lengths 4.952, 5.781, 5.781 Å; angles 90.00, 90.00, 90.00 degrees
Site moments in Bohr magnetons follow the coordinates.
Sites, in units of the cell vectors:
W  0.000  0.000  0.000  -0.43
Zr  0.500  0.500  0.500  1.59
Ba  0.000  0.000  0.500  0.08
Ba  0.000  0.500  0.000  0.08
Ga  0.500  0.000  0.000  -0.01

***

(4)
A plane-wave DFT calculation with meta-GGA SCAN was carried out for a PBEsol-optimized structure of CuHgAs2.

The calculation puts the formation energy at 0.090 eV per atom. Its space group is P2/m, No. 10.

Cell lengths 4.205, 3.797, 5.135 Å; angles 90.00, 105.83, 90.00 degrees
Sites, in units of the cell vectors:
Cu  0.500  0.500  0.000
Hg  0.000  0.500  0.500
As  0.268  0.000  0.172
As  0.732  0.000  0.828

***

(5)
A plane-wave DFT calculation with meta-GGA SCAN was carried out for a PBEsol-optimized structure of CdGaReTc2.

The calculation puts the formation energy at 1.253 eV per atom. Its space group is P4/mmm, No. 123.

Cell lengths 4.670, 4.670, 4.736 Å; angles 90.00, 90.00, 90.00 degrees
Site moments in Bohr magnetons follow the coordinates.
Sites, in units of the cell vectors:
Tc  0.000  0.500  0.000  1.01
Tc  0.500  0.000  0.000  1.01
Cd  0.500  0.500  0.500  -0.05
Re  0.000  0.000  0.000  -0.12
Ga  0.000  0.000  0.500  -0.01

***

(6)
A plane-wave DFT calculation with meta-GGA SCAN was carried out for a PBEsol-optimized structure of Mg2AlAg.

The calculation puts the formation energy at -0.097 eV per atom. Its space group is Cmmm, No. 65.

Cell lengths 3.049, 5.005, 5.005 Å; angles 106.24, 90.00, 90.00 degrees
Sites, in units of the cell vectors:
Ag  0.500  0.000  0.000
Al  0.500  0.500  0.500
Mg  0.000  0.000  0.500
Mg  0.000  0.500  0.000

***

(7)
A plane-wave DFT calculation with meta-GGA SCAN was carried out for a PBEsol-optimized structure of CaY2PdC.

The calculation puts the formation energy at -0.339 eV per atom. Its space group is P4/mmm, No. 123.

Cell lengths 4.775, 4.775, 4.878 Å; angles 90.00, 90.00, 90.00 degrees
Sites, in units of the cell vectors:
Pd  0.500  0.500  0.500
Y  0.500  0.000  0.000
C  0.000  0.000  0.000
Ca  0.000  0.000  0.500
Y  0.000  0.500  0.000

***

(8)
A plane-wave DFT calculation with meta-GGA SCAN was carried out for a PBEsol-optimized structure of HfZnCdTe2.

For the calculated total energy, the calculation gives -35.6046 eV/atom. Its space group is P4/mmm, No. 123.

Cell lengths 4.743, 5.227, 5.227 Å; angles 90.00, 90.00, 90.00 degrees
Sites, in units of the cell vectors:
Hf  0.500  0.500  0.500
Te  0.000  0.500  0.000
Cd  0.500  0.000  0.000
Te  0.000  0.000  0.500
Zn  0.000  0.000  0.000

***

(9)
A plane-wave DFT calculation with meta-GGA SCAN was carried out for a PBEsol-optimized structure of LiZr3O.

For the calculated total energy, the calculation gives -21.1358 eV/atom. Its space group is Pm-3m, No. 221.

Cell lengths 4.417, 4.417, 4.417 Å; angles 90.00, 90.00, 90.00 degrees
Sites, in units of the cell vectors:
Zr  0.000  0.000  0.500
Zr  0.000  0.500  0.000
Zr  0.500  0.000  0.000
Li  0.500  0.500  0.500
O  0.000  0.000  0.000

***

(10)
A plane-wave DFT calculation with meta-GGA SCAN was carried out for a PBEsol-optimized structure of AlCr2Se.

For the calculated total energy, the calculation gives -15.7913 eV/atom. Its space group is Cmm2, No. 35.

Cell lengths 2.676, 2.676, 8.800 Å; angles 90.00, 90.00, 112.20 degrees
Sites, in units of the cell vectors:
Cr  0.500  0.500  0.775
Se  0.000  0.000  0.545
Al  0.500  0.500  0.209
Cr  0.000  0.000  0.972

***

(11)
A plane-wave DFT calculation with meta-GGA SCAN was carried out for a PBEsol-optimized structure of Sr2TlB.

The calculation puts the formation energy at 0.265 eV per atom. Its space group is Fm-3m, No. 225.

Cell lengths 5.336, 5.336, 5.336 Å; angles 60.00, 60.00, 60.00 degrees
Sites, in units of the cell vectors:
Sr  0.750  0.750  0.750
Tl  0.500  0.500  0.500
Sr  0.250  0.250  0.250
B  0.000  0.000  0.000

***

(12)
A plane-wave DFT calculation with meta-GGA SCAN was carried out for a PBEsol-optimized structure of CdAgOs2.

The calculation puts the formation energy at 0.574 eV per atom. Its space group is Cm, No. 8.

Cell lengths 2.789, 4.700, 5.090 Å; angles 98.02, 90.00, 107.26 degrees
Sites, in units of the cell vectors:
Os  0.745  0.489  0.210
Ag  0.498  0.996  0.516
Cd  0.252  0.503  0.729
Os  0.006  0.012  0.045

***

(13)
A plane-wave DFT calculation with meta-GGA SCAN was carried out for a PBEsol-optimized structure of Be3PCl.

For the calculated total energy, the calculation gives -5.0606 eV/atom. Its space group is Pm-3m, No. 221.

Cell lengths 4.097, 4.097, 4.097 Å; angles 90.00, 90.00, 90.00 degrees
Sites, in units of the cell vectors:
P  0.500  0.500  0.500
Be  0.000  0.500  0.000
Cl  0.000  0.000  0.000
Be  0.500  0.000  0.000
Be  0.000  0.000  0.500

***

(14)
A plane-wave DFT calculation with meta-GGA SCAN was carried out for a PBEsol-optimized structure of Mn2NiHg.

The calculation puts the formation energy at -0.077 eV per atom. Its space group is I-4m2, No. 119.

Cell lengths 3.854, 3.854, 4.693 Å; angles 114.24, 114.24, 90.00 degrees
Site moments in Bohr magnetons follow the coordinates.
Sites, in units of the cell vectors:
Hg  0.250  0.750  0.500  -0.05
Mn  0.750  0.250  0.500  3.87
Mn  0.000  0.000  0.000  3.91
Ni  0.500  0.500  0.000  0.62